Na2Al2Rh: optimized geometry, GGA-PBEsol.

Results
Excess energy over the best structure of this formula in the dataset in meV per atom: 0
E_tot in eV per atom: -3.83
Energy of formation in eV/atom: -0.007

a b c (Å): 6.3542 6.3542 5.2705
angles (deg): 90.00 90.00 90.00
Space group P4/mbm (No. 127)
Symmetry-distinct sites (fractional):
Na 0.1804 0.3196 0.0000
Al 0.1607 0.6607 0.5000
Rh 0.0000 0.0000 0.5000

=====

Lu2C3N6: optimized geometry, GGA-PBEsol.

Results
Excess energy over the best structure of this formula in the dataset in meV per atom: 0
Raw formation energy in eV per atom: -0.899
E_tot in eV per atom: -9.07

a b c (Å): 6.2060 6.2060 29.4018
angles (deg): 90.00 90.00 120.00
Space group R-3c (No. 167, hexagonal axes)
Symmetry-distinct sites (fractional):
Lu 0.0000 0.0000 0.1642
C 0.0000 0.2945 0.2500
N 0.0042 0.4132 0.9561

=====

ZrTcRh: optimized geometry, GGA-PBEsol.

Results
Excess energy over the best structure of this formula in the dataset in meV per atom: 287
E_tot in eV per atom: -8.90
Energy of formation in eV/atom: 0.602

a b c (Å): 6.0480 6.0480 6.0480
angles (deg): 90.00 90.00 90.00
Space group F-43m (No. 216)
Symmetry-distinct sites (fractional):
Zr 0.0000 0.0000 0.0000
Tc 0.2500 0.2500 0.2500
Rh 0.2500 0.2500 0.7500

=====

BaNbRe3: optimized geometry, GGA-PBEsol.

Results
E_tot in eV per atom: -8.62
Energy of formation in eV/atom: 1.977

a b c (Å): 4.8893 4.8893 4.8893
angles (deg): 90.00 90.00 90.00
Space group Pm-3m (No. 221)
Symmetry-distinct sites (fractional):
Ba 0.0000 0.0000 0.0000
Nb 0.5000 0.5000 0.5000
Re 0.0000 0.5000 0.5000

=====

Co3SbH: optimized geometry, GGA-PBEsol.

Results
E_tot in eV per atom: -6.32

a b c (Å): 3.6750 3.6750 3.6750
angles (deg): 90.00 90.00 90.00
Space group Pm-3m (No. 221)
Symmetry-distinct sites (fractional):
Co 0.0000 0.0000 0.5000
Sb 0.5000 0.5000 0.5000
H 0.0000 0.0000 0.0000

=====

Sr2TlRe: optimized geometry, GGA-PBEsol.

Results
Excess energy over the best structure of this formula in the dataset in meV per atom: 167
E_tot in eV per atom: -4.08
Energy of formation in eV/atom: 0.831

a b c (Å): 3.4104 3.4104 31.6514
angles (deg): 90.00 90.00 120.00
Space group R-3m (No. 166, hexagonal axes)
Symmetry-distinct sites (fractional):
Sr 0.0000 0.0000 0.2410
Tl 0.0000 0.0000 0.0000
Re 0.0000 0.0000 0.5000

=====

K2YZr: optimized geometry, GGA-PBEsol.

Results
Excess energy over the best structure of this formula in the dataset in meV per atom: 260
E_tot in eV per atom: -3.52
Energy of formation in eV/atom: 1.028

a b c (Å): 8.4077 8.4077 8.4077
angles (deg): 90.00 90.00 90.00
Space group F-43m (No. 216)
Symmetry-distinct sites (fractional):
K 0.0000 0.0000 0.0000
K 0.2500 0.2500 0.2500
Y 0.2500 0.2500 0.7500
Zr 0.0000 0.0000 0.5000

=====

BaLi2Ag: optimized geometry, GGA-PBEsol.

Results
Excess energy over the best structure of this formula in the dataset in meV per atom: 54
E_tot in eV per atom: -2.40
Energy of formation in eV/atom: -0.049

a b c (Å): 4.6387 4.6387 17.6427
angles (deg): 90.00 90.00 120.00
Space group R-3m (No. 166, hexagonal axes)
Symmetry-distinct sites (fractional):
Ba 0.0000 0.0000 0.0000
Li 0.0000 0.0000 0.1950
Ag 0.0000 0.0000 0.5000

=====

CuPt2Pb: optimized geometry, GGA-PBEsol.

Results
E_tot in eV per atom: -5.49
Energy of formation in eV/atom: 0.077

a b c (Å): 2.9581 3.7950 5.9487
angles (deg): 90.00 90.00 90.00
Space group Pmm2 (No. 25)
Symmetry-distinct sites (fractional):
Cu 0.0000 0.0000 0.0000
Pt 0.0000 0.0000 0.5656
Pt 0.5000 0.5000 0.8275
Pb 0.5000 0.5000 0.3024

=====

La2MnHgCl: optimized geometry, GGA-PBEsol.

Results
Raw formation energy in eV per atom: 0.673
E_tot in eV per atom: -3.93

a b c (Å): 5.8549 5.8549 5.4114
angles (deg): 90.00 90.00 90.00
Space group P4/mmm (No. 123)
Symmetry-distinct sites (fractional):
La 0.0000 0.5000 0.0000
Mn 0.0000 0.0000 0.5000
Hg 0.5000 0.5000 0.0000
Cl 0.5000 0.5000 0.5000

=====

LaCr2Ag: optimized geometry, GGA-PBEsol.

Results
Excess energy over the best structure of this formula in the dataset in meV per atom: 0
E_tot in eV per atom: -6.93
Energy of formation in eV/atom: 0.351

a b c (Å): 3.0337 3.0337 7.6943
angles (deg): 90.00 90.00 90.00
Space group P4mm (No. 99)
Symmetry-distinct sites (fractional):
La 0.0000 0.0000 0.0000
Cr 0.0000 0.0000 0.5608
Cr 0.5000 0.5000 0.6946
Ag 0.5000 0.5000 0.3234

=====

Mg3FeRu: optimized geometry, GGA-PBEsol.

Results
E_tot in eV per atom: -3.63
Energy of formation in eV/atom: 1.229

a b c (Å): 4.6179 4.6179 4.6179
angles (deg): 90.00 90.00 90.00
Space group Pm-3m (No. 221)
Symmetry-distinct sites (fractional):
Mg 0.0000 0.0000 0.5000
Fe 0.0000 0.0000 0.0000
Ru 0.5000 0.5000 0.5000